Entry 1:
Computed, not measured: a relaxed structure of Ce3As4Rh4 at the PBE level of DFT.

Total DFT energy (no corrections): -7.02 eV per atom
Space group: Immm

Cell lengths 4.159, 7.144, 8.095 Å; angles 116.19, 104.89, 90.00 degrees
Last column: magnetic moment on the atom in μB.
Element x y z (fractional)
As (0.786, 0.286, 0.571)  0.00
As (0.214, 0.714, 0.429)  0.00
As (0.500, 0.216, 0.000)  0.00
As (0.500, 0.784, 0.000)  0.00
Ce (0.124, 0.124, 0.247)  0.10
Ce (0.876, 0.876, 0.753)  0.10
Ce (0.000, 0.500, 0.000)  0.01
Rh (0.680, 0.885, 0.361)  -0.01
Rh (0.680, 0.476, 0.361)  -0.01
Rh (0.320, 0.115, 0.639)  -0.01
Rh (0.320, 0.524, 0.639)  -0.01

=====

Entry 2:
Computed, not measured: a relaxed structure of Na3ZnPb at the PBE level of DFT.

Total DFT energy (no corrections): -1.84 eV per atom
Space group: P2_1/c

Cell lengths 6.560, 8.422, 10.821 Å; angles 107.22, 90.00, 90.00 degrees
Element x y z (fractional)
Na (0.996, 0.224, 0.064)
Na (0.287, 0.389, 0.340)
Na (0.004, 0.776, 0.936)
Na (0.469, 0.991, 0.835)
Na (0.031, 0.991, 0.335)
Na (0.787, 0.611, 0.160)
Na (0.713, 0.611, 0.660)
Na (0.531, 0.009, 0.165)
Na (0.496, 0.776, 0.436)
Na (0.213, 0.389, 0.840)
Na (0.969, 0.009, 0.665)
Na (0.504, 0.224, 0.564)
Pb (0.221, 0.652, 0.648)
Pb (0.279, 0.652, 0.148)
Pb (0.779, 0.348, 0.352)
Pb (0.721, 0.348, 0.852)
Zn (0.517, 0.673, 0.930)
Zn (0.017, 0.327, 0.570)
Zn (0.983, 0.673, 0.430)
Zn (0.483, 0.327, 0.070)

=====

Entry 3:
Computed, not measured: a relaxed structure of MgReOs2 at the PBE level of DFT.

Total DFT energy (no corrections): -8.68 eV per atom
Space group: Pmmm

Cell lengths 2.884, 4.605, 4.489 Å; angles 90.00, 90.00, 90.00 degrees
Element x y z (fractional)
Os (0.500, 0.500, 0.000)
Os (0.000, 0.000, 0.000)
Mg (0.000, 0.500, 0.500)
Re (0.500, 0.000, 0.500)

=====

Entry 4:
Computed, not measured: a relaxed structure of GdTmCoIr at the PBE level of DFT.

Total DFT energy (no corrections): -9.15 eV per atom
Space group: F-43m

Cell lengths 4.788, 4.788, 4.788 Å; angles 60.00, 60.00, 60.00 degrees
Last column: magnetic moment on the atom in μB.
Element x y z (fractional)
Gd (0.250, 0.250, 0.250)  -7.11
Ir (0.000, 0.000, 0.000)  0.11
Co (0.500, 0.500, 0.500)  0.90
Tm (0.750, 0.750, 0.750)  -0.20

=====

no.,total magnetization (μB per atom),ΔH_f (0 K) (eV per atom)
1,0.019,-1.0414
2,0.000,-0.0492
3,0.000,0.4439
4,1.625,-0.5196